RbCdBi2 after structural relaxation. Source: Alexandria, functional PBE.

- Calculated volume: 43.8 A^3/atom
- DFT total energy: -2.482 eV per atom
- E_form: -0.0713 eV per atom

Unit cell a=5.884 b=5.884 c=20.244 alpha=90.00 beta=90.00 gamma=90.00
Space group I-42d (No. 122)
Unique sites:
Rb 0.000 0.000 0.000 x4
Cd 0.000 0.000 0.500 x4
Bi 0.122 0.250 0.625 x8

***

ReIr6Rh2 after structural relaxation. Source: Alexandria, functional PBE.

- Calculated volume: 16.6 A^3/atom
- DFT total energy: -8.482 eV per atom
- Offset from the most stable computed form: 21.0 kJ per mole of atoms
- E_form: 0.4424 eV per atom

Unit cell a=5.3716 b=5.3716 c=17.9706 alpha=90.00 beta=90.00 gamma=120.00
Space group R3m (No. 160, hexagonal axes)
Unique sites:
Re 0.0000 0.0000 0.0000 x3
Ir 0.0127 0.5064 0.4379 x9
Ir 0.0161 0.5081 0.2247 x9
Rh 0.0000 0.0000 0.2447 x3
Rh 0.0000 0.0000 0.3987 x3

***

PmErGaPd after structural relaxation. Source: Alexandria, functional PBE.

- Calculated volume: 23.0 A^3/atom
- DFT total energy: -5.052 eV per atom
- Offset from the most stable computed form: 4.2 kJ per mole of atoms
- E_form: -0.6688 eV per atom

Unit cell a=7.170 b=7.170 c=7.170 alpha=90.00 beta=90.00 gamma=90.00
Space group F-43m (No. 216)
Unique sites:
Pm 0.000 0.000 0.000 x4
Er 0.000 0.000 0.500 x4
Ga 0.250 0.250 0.250 x4
Pd 0.250 0.250 0.750 x4

***

Sn2BiTe after structural relaxation. Source: Alexandria, functional PBE.

- Calculated volume: 38.7 A^3/atom
- DFT total energy: -3.638 eV per atom
- Offset from the most stable computed form: 19.3 kJ per mole of atoms
- Formation energy from raw total energies: 0.119 eV/atom

Unit cell a=7.844 b=7.844 c=10.053 alpha=90.00 beta=90.00 gamma=90.00
Space group I-42d (No. 122)
Unique sites:
Sn 0.250 0.250 0.125 x8
Bi 0.000 0.000 0.000 x4
Te 0.000 0.000 0.500 x4

***

AcCuTcGe3 after structural relaxation. Source: Alexandria, functional PBE.

- Calculated volume: 21.8 A^3/atom
- DFT total energy: -5.560 eV per atom
- E_form: -0.1559 eV per atom

Unit cell a=6.455 b=13.361 c=6.075 alpha=90.00 beta=90.00 gamma=90.00
Space group Cmcm (No. 63)
Unique sites:
Ac 0.000 0.226 0.250 x4
Cu 0.000 0.115 0.750 x4
Tc 0.000 0.460 0.750 x4
Ge 0.000 0.285 0.750 x4
Ge 0.201 0.000 0.000 x8

***

DyHo12Th7 after structural relaxation. Source: Alexandria, functional PBE.

- Calculated volume: 38.0 A^3/atom
- DFT total energy: -4.603 eV per atom
- Offset from the most stable computed form: 67.2 kJ per mole of atoms
- E_form: 0.9704 eV per atom

Unit cell a=11.494 b=11.494 c=11.494 alpha=90.00 beta=90.00 gamma=90.00
Space group Im-3 (No. 204)
Unique sites:
Dy 0.000 0.000 0.000 x2
Ho 0.000 0.253 0.256 x24
Th 0.000 0.000 0.500 x6
Th 0.250 0.250 0.250 x8

***

KRuPbCl6 after structural relaxation. Source: Alexandria, functional PBE.

- Calculated volume: 30.9 A^3/atom
- DFT total energy: -3.833 eV per atom
- Formation energy from raw total energies: -1.037 eV/atom

Unit cell a=7.0556 b=7.0556 c=12.8961 alpha=90.00 beta=90.00 gamma=120.00
Space group P-31c (No. 163)
Unique sites:
K 0.0000 0.0000 0.0000 x2
Ru 0.3333 0.6667 0.2500 x2
Pb 0.3333 0.6667 0.7500 x2
Cl 0.0547 0.3954 0.1423 x12

***

KBaPt10 after structural relaxation. Source: Alexandria, functional PBE.

- Calculated volume: 19.5 A^3/atom
- DFT total energy: -5.582 eV per atom
- E_form: -0.2964 eV per atom

Unit cell a=4.354 b=5.578 c=9.625 alpha=90.00 beta=90.00 gamma=90.00
Space group Pmmm (No. 47)
Unique sites:
K 0.000 0.000 0.000 x1
Ba 0.000 0.500 0.500 x1
Pt 0.000 0.000 0.329 x2
Pt 0.000 0.500 0.162 x2
Pt 0.500 0.000 0.500 x1
Pt 0.500 0.250 0.248 x4
Pt 0.500 0.500 0.000 x1